First-principles (PBE-GGA) data for an optimized crystal structure of YTh2Se3, as listed in Alexandria.

Symmetry: C2/m, No. 12
Crystal system: monoclinic
Total magnetic moment, μB per formula unit: 0.00
Raw formation energy, meV/atom: -1603
Mass density, g/cm3: 8.55

Geometry as POSCAR:
```
YTh2Se3
1.0
-3.320 6.015 -1.998
-2.311 -6.297 -2.489
-2.421 -0.471 6.849
Se Th Y
6 4 2
direct
0.598 0.932 0.765
0.757 0.748 0.243
0.910 0.586 0.757
0.252 0.243 0.757
0.068 0.402 0.235
0.414 0.090 0.243
0.833 0.167 0.500
0.172 0.828 0.500
0.333 0.667 0.000
0.494 0.506 0.500
0.666 0.334 0.000
0.001 0.999 0.000
```

---

First-principles (PBE-GGA) data for an optimized crystal structure of Y3ThSe6, as listed in Alexandria.

Symmetry: P2_1/m, No. 11
Crystal system: monoclinic
Total magnetic moment, μB per formula unit: 0.00
Raw formation energy, meV/atom: -1844
Mass density, g/cm3: 6.01

Geometry as POSCAR:
```
Y3ThSe6
1.0
-0.042 2.485 -3.259
1.705 -9.121 -6.978
-11.728 1.584 1.360
Se Y Th
12 6 2
direct
0.250 0.884 0.533
0.250 0.192 0.252
0.750 0.808 0.748
0.750 0.482 0.617
0.250 0.256 0.725
0.250 0.605 0.938
0.750 0.116 0.467
0.250 0.083 0.903
0.750 0.744 0.275
0.750 0.395 0.062
0.750 0.917 0.097
0.250 0.518 0.383
0.750 0.431 0.835
0.750 0.679 0.500
0.750 0.159 0.081
0.250 0.569 0.165
0.250 0.321 0.500
0.250 0.841 0.919
0.750 0.047 0.697
0.250 0.953 0.303
```

---

First-principles (PBE-GGA) data for an optimized crystal structure of YTh2Se5, as listed in Alexandria.

Energy above the lowest structure with this stoichiometry, meV per atom: 0
Symmetry: Pbam, No. 55
Crystal system: orthorhombic
Total magnetic moment, μB per formula unit: 0.00
Raw formation energy, meV/atom: -1745
Mass density, g/cm3: 7.48

Geometry as POSCAR:
```
YTh2Se5
1.0
4.072 0.000 0.000
0.000 8.216 0.000
0.000 0.000 12.583
Se Th Y
10 4 2
direct
0.000 0.000 0.500
0.000 0.186 0.806
0.500 0.169 0.105
0.500 0.669 0.395
0.500 0.831 0.895
0.000 0.686 0.694
0.000 0.314 0.306
0.000 0.500 0.000
0.000 0.814 0.194
0.500 0.331 0.605
0.500 0.482 0.822
0.500 0.518 0.178
0.500 0.018 0.322
0.500 0.982 0.678
0.000 0.000 0.000
0.000 0.500 0.500
```

---

First-principles (PBE-GGA) data for an optimized crystal structure of YThSe2, as listed in Alexandria.

Energy above the lowest structure with this stoichiometry, meV per atom: 391
Symmetry: Pc, No. 7
Crystal system: monoclinic
Total magnetic moment, μB per formula unit: 0.00
Raw formation energy, meV/atom: -1256
Mass density, g/cm3: 6.27

Geometry as POSCAR:
```
YThSe2
1.0
4.134 -0.002 -0.001
-0.002 6.685 -0.001
-0.004 0.004 9.179
Se Th Y
4 2 2
direct
0.701 0.535 0.206
0.200 0.164 0.414
0.202 0.035 0.011
0.701 0.664 0.802
0.201 0.938 0.683
0.701 0.437 0.534
0.702 0.297 0.943
0.201 0.796 0.273
```

---

First-principles (PBE-GGA) data for an optimized crystal structure of YTh2Se5, as listed in Alexandria.

Energy above the lowest structure with this stoichiometry, meV per atom: 59
Symmetry: Cmcm, No. 63
Crystal system: orthorhombic
Total magnetic moment, μB per formula unit: 0.00
Raw formation energy, meV/atom: -1686
Mass density, g/cm3: 5.82

Geometry as POSCAR:
```
YTh2Se5
1.0
-0.047 3.717 -4.444
-4.809 -5.401 -0.690
-9.638 7.742 6.577
Se Th Y
10 4 2
direct
0.666 0.333 0.924
0.334 0.667 0.076
0.951 0.901 0.878
0.666 0.333 0.576
0.049 0.099 0.122
0.334 0.667 0.424
0.251 0.503 0.750
0.951 0.901 0.622
0.049 0.099 0.378
0.749 0.497 0.250
0.845 0.691 0.057
0.155 0.309 0.943
0.155 0.309 0.557
0.845 0.691 0.443
0.789 0.577 0.750
0.211 0.423 0.250
```

---

First-principles (PBE-GGA) data for an optimized crystal structure of YTh2Se6, as listed in Alexandria.

Symmetry: P4_2/mnm, No. 136
Crystal system: tetragonal
Total magnetic moment, μB per formula unit: 0.00
Raw formation energy, meV/atom: -1509
Mass density, g/cm3: 5.66

Geometry as POSCAR:
```
YTh2Se6
1.0
6.787 0.000 0.000
0.000 6.787 0.000
0.000 0.000 13.070
Se Th Y
12 4 2
direct
0.302 0.302 0.163
0.698 0.698 0.163
0.198 0.802 0.663
0.699 0.699 0.500
0.199 0.801 0.000
0.802 0.198 0.663
0.301 0.301 0.500
0.198 0.802 0.337
0.698 0.698 0.837
0.801 0.199 0.000
0.302 0.302 0.837
0.802 0.198 0.337
0.500 0.500 0.668
0.000 0.000 0.832
0.000 0.000 0.168
0.500 0.500 0.332
0.000 0.000 0.500
0.500 0.500 0.000
```

---

> Which value of mass density does entry 6 give?

5.66 g/cm3